Record 1
Computed, not measured: a relaxed structure of KN3F12 at the PBE-GGA level of DFT.

Geometry as CIF:
```
data_KN3F12
_chemical_formula_sum 'K2 N6 F24'
_cell_length_a 9.072
_cell_length_b 9.072
_cell_length_c 9.061
_cell_angle_alpha 59.96
_cell_angle_beta 59.96
_cell_angle_gamma 60.00
_symmetry_space_group_name_H-M 'P 1'
_symmetry_Int_Tables_number 1
loop_
_symmetry_equiv_pos_as_xyz
'x,y,z'
loop_
_atom_site_label
_atom_site_type_symbol
_atom_site_fract_x
_atom_site_fract_y
_atom_site_fract_z
K1 K 0.933 0.933 0.202
K2 K 0.433 0.433 0.702
N1 N 0.701 0.386 0.956
N2 N 0.201 0.457 0.456
N3 N 0.886 0.201 0.456
N4 N 0.386 0.957 0.956
N5 N 0.957 0.701 0.956
N6 N 0.457 0.886 0.456
F1 F 0.105 0.169 0.011
F2 F 0.185 0.316 0.621
F3 F 0.986 0.024 0.452
F4 F 0.792 0.510 0.830
F5 F 0.292 0.368 0.330
F6 F 0.486 0.038 0.952
F7 F 0.685 0.377 0.121
F8 F 0.024 0.538 0.452
F9 F 0.605 0.216 0.511
F10 F 0.877 0.185 0.621
F11 F 0.010 0.292 0.330
F12 F 0.216 0.669 0.511
F13 F 0.038 0.524 0.952
F14 F 0.716 0.105 0.011
F15 F 0.510 0.868 0.830
F16 F 0.377 0.816 0.121
F17 F 0.816 0.685 0.121
F18 F 0.524 0.486 0.952
F19 F 0.669 0.605 0.511
F20 F 0.868 0.792 0.830
F21 F 0.368 0.010 0.330
F22 F 0.169 0.716 0.011
F23 F 0.316 0.877 0.621
F24 F 0.538 0.986 0.452
```

Calculated values
Calculated volume: 527 Å³/cell
Space group: R3c (161)
Uncorrected formation energy: -0.596 eV per atom



Record 2
Computed, not measured: a relaxed structure of LaFe2W at the PBE-GGA level of DFT.

Geometry as CIF:
```
data_LaFe2W
_chemical_formula_sum 'La1 Fe2 W1'
_cell_length_a 5.696
_cell_length_b 5.696
_cell_length_c 5.696
_cell_angle_alpha 149.90
_cell_angle_beta 132.75
_cell_angle_gamma 57.05
_symmetry_space_group_name_H-M 'P 1'
_symmetry_Int_Tables_number 1
loop_
_symmetry_equiv_pos_as_xyz
'x,y,z'
loop_
_atom_site_label
_atom_site_type_symbol
_atom_site_fract_x
_atom_site_fract_y
_atom_site_fract_z
Fe1 Fe 0.977 0.977 0.000
Fe2 Fe 0.784 0.284 0.500
La1 La 0.512 0.512 0.000
W1 W 0.226 0.726 0.500
```

Calculated values
Formation energy from the elements: 638 meV per atom
Calculated volume: 68 Å³/cell
Space group: Imm2 (44)
ΔE to the lowest computed polymorph: 0.386 eV/atom



Record 3
Computed, not measured: a relaxed structure of Nd3Ge2Rh at the PBE-GGA level of DFT.

Geometry as CIF:
```
data_Nd3Ge2Rh
_chemical_formula_sum 'Nd12 Ge8 Rh4'
_cell_length_a 4.337
_cell_length_b 11.604
_cell_length_c 12.091
_cell_angle_alpha 90.00
_cell_angle_beta 90.00
_cell_angle_gamma 90.00
_symmetry_space_group_name_H-M 'P 1'
_symmetry_Int_Tables_number 1
loop_
_symmetry_equiv_pos_as_xyz
'x,y,z'
loop_
_atom_site_label
_atom_site_type_symbol
_atom_site_fract_x
_atom_site_fract_y
_atom_site_fract_z
Nd1 Nd 0.250 0.372 0.054
Nd2 Nd 0.750 0.628 0.946
Nd3 Nd 0.750 0.872 0.446
Nd4 Nd 0.250 0.128 0.554
Nd5 Nd 0.250 0.699 0.223
Nd6 Nd 0.750 0.301 0.777
Nd7 Nd 0.750 0.199 0.277
Nd8 Nd 0.250 0.801 0.723
Nd9 Nd 0.250 0.446 0.380
Nd10 Nd 0.750 0.554 0.620
Nd11 Nd 0.750 0.946 0.120
Nd12 Nd 0.250 0.054 0.880
Ge1 Ge 0.250 0.688 0.486
Ge2 Ge 0.750 0.312 0.514
Ge3 Ge 0.750 0.188 0.014
Ge4 Ge 0.250 0.812 0.986
Ge5 Ge 0.250 0.999 0.309
Ge6 Ge 0.750 0.001 0.691
Ge7 Ge 0.750 0.499 0.191
Ge8 Ge 0.250 0.501 0.809
Rh1 Rh 0.250 0.131 0.131
Rh2 Rh 0.750 0.869 0.869
Rh3 Rh 0.750 0.631 0.369
Rh4 Rh 0.250 0.369 0.631
```

Calculated values
Formation energy from the elements: -836 meV per atom
Calculated volume: 609 Å³/cell
Space group: Pnma (62)



Record 4
Computed, not measured: a relaxed structure of AgTe2Mo at the PBE-GGA level of DFT.

Geometry as CIF:
```
data_AgTe2Mo
_chemical_formula_sum 'Ag1 Te2 Mo1'
_cell_length_a 3.376
_cell_length_b 3.376
_cell_length_c 7.572
_cell_angle_alpha 90.00
_cell_angle_beta 90.00
_cell_angle_gamma 90.00
_symmetry_space_group_name_H-M 'P 1'
_symmetry_Int_Tables_number 1
loop_
_symmetry_equiv_pos_as_xyz
'x,y,z'
loop_
_atom_site_label
_atom_site_type_symbol
_atom_site_fract_x
_atom_site_fract_y
_atom_site_fract_z
Ag1 Ag 0.500 0.500 0.250
Mo1 Mo 0.500 0.500 0.750
Te1 Te 0.000 0.000 0.966
Te2 Te 0.000 0.000 0.534
```

Calculated values
Calculated volume: 86 Å³/cell
Space group: P4/mmm (123)
ΔE to the lowest computed polymorph: 0.068 eV/atom
Uncorrected formation energy: 0.171 eV per atom



Record 5
Computed, not measured: a relaxed structure of Tb4PmSc3 at the PBE-GGA level of DFT.

Geometry as CIF:
```
data_Tb4PmSc3
_chemical_formula_sum 'Tb4 Pm1 Sc3'
_cell_length_a 3.382
_cell_length_b 9.829
_cell_length_c 8.610
_cell_angle_alpha 90.12
_cell_angle_beta 101.56
_cell_angle_gamma 59.07
_symmetry_space_group_name_H-M 'P 1'
_symmetry_Int_Tables_number 1
loop_
_symmetry_equiv_pos_as_xyz
'x,y,z'
loop_
_atom_site_label
_atom_site_type_symbol
_atom_site_fract_x
_atom_site_fract_y
_atom_site_fract_z
Sc1 Sc 0.736 0.264 0.264
Sc2 Sc 0.264 0.736 0.736
Sc3 Sc 0.000 0.500 0.500
Tb1 Tb 0.619 0.124 0.606
Tb2 Tb 0.381 0.876 0.394
Tb3 Tb 0.344 0.394 0.876
Tb4 Tb 0.656 0.606 0.124
Pm1 Pm 0.500 0.000 0.000
```

Calculated values
Formation energy from the elements: 137 meV per atom
Calculated volume: 239 Å³/cell
Space group: C2/m (12)
ΔE to the lowest computed polymorph: 0.099 eV/atom



Record 6
Computed, not measured: a relaxed structure of Bi2SbCl3 at the PBE-GGA level of DFT.

Geometry as CIF:
```
data_Bi2SbCl3
_chemical_formula_sum 'Bi4 Sb2 Cl6'
_cell_length_a 4.544
_cell_length_b 9.340
_cell_length_c 11.164
_cell_angle_alpha 77.77
_cell_angle_beta 78.26
_cell_angle_gamma 75.92
_symmetry_space_group_name_H-M 'P 1'
_symmetry_Int_Tables_number 1
loop_
_symmetry_equiv_pos_as_xyz
'x,y,z'
loop_
_atom_site_label
_atom_site_type_symbol
_atom_site_fract_x
_atom_site_fract_y
_atom_site_fract_z
Bi1 Bi 0.869 0.417 0.844
Bi2 Bi 0.131 0.583 0.156
Bi3 Bi 0.617 0.219 0.546
Bi4 Bi 0.383 0.781 0.454
Sb1 Sb 0.415 0.504 0.666
Sb2 Sb 0.585 0.496 0.334
Cl1 Cl 0.063 0.150 0.724
Cl2 Cl 0.937 0.850 0.276
Cl3 Cl 0.698 0.667 0.937
Cl4 Cl 0.302 0.333 0.063
Cl5 Cl 0.781 0.845 0.592
Cl6 Cl 0.219 0.155 0.408
```

Calculated values
Calculated volume: 443 Å³/cell
Space group: C2/m (12)
Uncorrected formation energy: -0.575 eV per atom